Entry from Alexandria via LeMat-Bulk: a relaxed AlSi2O6 crystal (PBE).

Results
Crystal system = monoclinic
D(E_F) = 0.4596 states/eV/atom
Space-group type = C2/c, No. 15
Total magnetic moment = 2.1 μB/cell
Raw formation energy = -2.53 eV/atom

a b c (Å): 5.3215 6.4218 6.4218
angles (deg): 83.16 75.01 75.01
Closest atoms and distances in Å follow each position.
Fractional coordinates of all 18 atoms:
O  0.2307  0.0972  0.6252  1 Si 1.62
O  0.8688  0.1832  0.0410  1 Si 1.65
O  0.5451  0.6302  0.6533  2 Si 1.63-1.64
O  0.7307  0.6252  0.0972  1 Si 1.62
O  0.9549  0.3467  0.3698  2 Si 1.63-1.64
O  0.1312  0.8168  0.9590  1 Si 1.65
O  0.3688  0.0410  0.1832  1 Si 1.65
O  0.2693  0.3748  0.9028  1 Si 1.62
O  0.7693  0.9028  0.3748  1 Si 1.62
O  0.6312  0.9590  0.8168  1 Si 1.65
O  0.4549  0.3698  0.3467  2 Si 1.63-1.64
O  0.0451  0.6533  0.6302  2 Si 1.63-1.64
Al  0.7500  0.9129  0.0871  6 O 1.87-1.96
Al  0.2500  0.0871  0.9129  6 O 1.87-1.96
Si  0.2545  0.2070  0.3824  4 O 1.62-1.65
Si  0.2455  0.6176  0.7930  4 O 1.62-1.65
Si  0.7545  0.3824  0.2070  4 O 1.62-1.65
Si  0.7455  0.7930  0.6176  4 O 1.62-1.65

***

Entry from Alexandria via LeMat-Bulk: a relaxed KLiAuSe2 crystal (PBE).

Results
Crystal system = orthorhombic
D(E_F) = 0.8682 states/eV/atom
Space-group type = Cmme, No. 67
Total magnetic moment = 0.0 μB/cell
Raw formation energy = -0.72 eV/atom

a b c (Å): 6.0118 5.6569 7.9199
angles (deg): 110.92 90.00 90.00
Closest atoms and distances in Å follow each position.
Fractional coordinates of all 10 atoms:
Se  0.7117  0.6190  0.2379  1 Au 2.47, 2 Li 2.59
Se  0.7117  0.8810  0.7621  1 Au 2.47, 2 Li 2.59
Se  0.2883  0.3810  0.7621  1 Au 2.47, 2 Li 2.59
Se  0.2883  0.1190  0.2379  1 Au 2.47, 2 Li 2.59
Li  0.5000  0.7500  0.0000  4 Se 2.59, 2 Li 2.83
Li  0.5000  0.2500  0.0000  4 Se 2.59, 2 Li 2.83
K  0.2231  0.7500  0.5000  8 Se 3.45-3.63
K  0.7769  0.2500  0.5000  8 Se 3.45-3.63
Au  0.0000  0.5000  0.0000  2 Se 2.47
Au  0.0000  0.0000  0.0000  2 Se 2.47

***

Entry from Alexandria via LeMat-Bulk: a relaxed Sm2Pd13 crystal (PBE).

Results
Crystal system = trigonal
D(E_F) = 1.1512 states/eV/atom
Space-group type = R-3m, No. 166
Total magnetic moment = 0.0 μB/cell

a b c (Å): 7.3949 7.3949 7.9784
angles (deg): 62.39 62.39 60.00
Closest atoms and distances in Å follow each position.
Fractional coordinates of all 15 atoms:
Pd  0.7405  0.7405  0.4061  8 Pd 2.75-3.00, 1 Sm 2.93
Pd  0.7405  0.1128  0.4061  8 Pd 2.75-3.00, 1 Sm 2.93
Pd  0.4835  0.8537  0.1793  6 Pd 2.66-2.79, 1 Sm 2.71
Pd  0.8872  0.2595  0.5939  8 Pd 2.75-3.00, 1 Sm 2.93
Pd  0.2595  0.8872  0.5939  8 Pd 2.75-3.00, 1 Sm 2.93
Pd  0.4835  0.4835  0.1793  6 Pd 2.66-2.79, 1 Sm 2.71
Pd  0.8537  0.4835  0.1793  6 Pd 2.66-2.79, 1 Sm 2.71
Pd  0.5165  0.1463  0.8207  6 Pd 2.66-2.79, 1 Sm 2.71
Pd  0.2595  0.2595  0.5939  8 Pd 2.75-3.00, 1 Sm 2.93
Pd  0.5165  0.5165  0.8207  6 Pd 2.66-2.79, 1 Sm 2.71
Pd  0.1128  0.7405  0.4061  8 Pd 2.75-3.00, 1 Sm 2.93
Pd  0.5000  0.5000  0.5000  12 Pd 2.68-2.75
Pd  0.1463  0.5165  0.8207  6 Pd 2.66-2.79, 1 Sm 2.71
Sm  0.2573  0.2573  0.2282  6 Pd 2.71-2.93
Sm  0.7427  0.7427  0.7718  6 Pd 2.71-2.93

***

no.,energy (eV/atom)
1,-7.454
2,-3.369
3,-5.124